1.
The following is a PBE calculation of a geometry-optimized Nd3NpOs8 structure, from Alexandria.

Its energy of formation from the pure elements is -42 meV per atom. Its total magnetic moment is 0.1768 μB/atom. The energy is -9.80 eV per atom.

The structure belongs to space group R3m (No. 160, hexagonal axes); the cell edges are 5.4108, 5.4108 and 26.5706 Å and the angles 90.00°, 90.00° and 120.00°. Symmetry generates all atoms from Nd at (0.0000, 0.0000, 0.0000), Nd at (0.0000, 0.0000, 0.1251), Nd at (0.0000, 0.0000, 0.4997), Np at (0.0000, 0.0000, 0.6246), Os at (0.0000, 0.0000, 0.3124), Os at (0.0000, 0.0000, 0.8129), Os at (0.0011, 0.5005, 0.5637) and Os at (0.1686, 0.3372, 0.3943).

2.
The following is a PBE calculation of a geometry-optimized TlCr2S2 structure, from Alexandria.

Its total magnetic moment is 0.2748 μB/atom. As for the energy relative to the elements, uncorrected: 0.054 eV/atom. The energy is -5.92 eV per atom.

The structure belongs to space group I4/mmm (No. 139); the cell edges are 4.6077, 4.6077 and 8.0192 Å and the angles 90.00°, 90.00° and 90.00°. Symmetry generates all atoms from Tl at (0.0000, 0.0000, 0.0000), Cr at (0.0000, 0.0000, 0.3781) and S at (0.0000, 0.5000, 0.2500).

3.
The following is a PBE calculation of a geometry-optimized La3YTl structure, from Alexandria.

Its energy of formation from the pure elements is -75 meV per atom. Its total magnetic moment is 0.0000 μB/atom. The value obtained for the energy above the most stable polymorph in this dataset is 0.021 eV/atom. The energy is -4.80 eV per atom.

The structure belongs to space group Imm2 (No. 44); the cell edges are 5.2059, 9.4967 and 6.9388 Å and the angles 90.00°, 90.00° and 90.00°. Symmetry generates all atoms from La at (0.0000, 0.0000, 0.0000), La at (0.0000, 0.3022, 0.2828), Y at (0.0000, 0.5000, 0.7897) and Tl at (0.0000, 0.0000, 0.5421).